# 1
# Na4HfU3N8

A relaxed Na4HfU3N8 crystal (PBE, Alexandria).

Properties
- symmetry = R-3m (166)
- DFT total energy (eV per cell) = -133.05
- raw formation energy (kJ/mol of formula units) = -1674
- total magnetic moment (μB per formula unit) = 2.1

```
Na4HfU3N8
1.0
-1.9664 -4.3781 4.9276
-0.5157 -5.0732 -4.7132
5.9043 3.4712 0.6392
U N Na Hf
3 8 4 1
direct
0.5000 0.5000 0.5000 U
0.5000 0.5000 0.0000 U
0.0000 0.5000 0.5000 U
0.7282 0.6845 0.4565 N
0.2288 0.6838 0.4576 N
0.7712 0.3162 0.5424 N
0.2738 0.3162 0.0449 N
0.7262 0.6838 0.9551 N
0.7711 0.3162 0.0449 N
0.2718 0.3155 0.5435 N
0.2289 0.6838 0.9551 N
0.5000 0.0000 0.0000 Na
0.5000 0.0000 0.5000 Na
0.0000 0.0000 0.0000 Na
0.0000 0.0000 0.5000 Na
0.0000 0.5000 0.0000 Hf
```

# 2
# Na3Hf2WN6

A relaxed Na3Hf2WN6 crystal (PBE, Alexandria).

Properties
- symmetry = C2/m (12)
- DFT total energy (eV per cell) = -96.48
- raw formation energy (kJ/mol of formula units) = -937
- total magnetic moment (μB per formula unit) = 0.0

```
Na3Hf2WN6
1.0
-0.7685 -5.1004 1.9945
4.3350 2.9991 1.6721
-4.3087 2.8357 3.0328
N Hf Na W
6 2 3 1
direct
0.6185 0.9354 0.8063 N
0.3815 0.0646 0.1937 N
0.2524 0.2524 0.8069 N
0.0646 0.3815 0.1937 N
0.7476 0.7476 0.1931 N
0.9354 0.6185 0.8063 N
0.3333 0.6667 0.0000 Hf
0.6667 0.3333 0.0000 Hf
0.1662 0.8338 0.5000 Na
0.5000 0.5000 0.5000 Na
0.8338 0.1662 0.5000 Na
0.0000 0.0000 0.0000 W
```

# 3
# NaHf2Zr3N6

A relaxed NaHf2Zr3N6 crystal (PBE, Alexandria).

Properties
- symmetry = C2/m (12)
- DFT total energy (eV per cell) = -115.19
- raw formation energy (kJ/mol of formula units) = -1773
- total magnetic moment (μB per formula unit) = 0.0

```
NaHf2Zr3N6
1.0
3.2371 0.0000 0.0000
0.0000 6.5244 0.2368
-1.6185 -1.8773 6.8072
Zr Hf N Na
3 2 6 1
direct
0.1606 0.8345 0.3211 Zr
0.5000 0.5000 0.0000 Zr
0.8394 0.1655 0.6789 Zr
0.8372 0.6715 0.6744 Hf
0.1628 0.3285 0.3256 Hf
0.3311 0.4210 0.6622 N
0.6721 0.0943 0.3441 N
0.0042 0.2676 0.0085 N
0.6689 0.5790 0.3378 N
0.9958 0.7324 0.9915 N
0.3279 0.9057 0.6559 N
0.5000 0.0000 0.0000 Na
```

# 4
# HfNb2N

A relaxed HfNb2N crystal (PBE, Alexandria).

Properties
- symmetry = Pmmn (59)
- DFT total energy (eV per cell) = -82.86
- raw formation energy (kJ/mol of formula units) = -291
- total magnetic moment (μB per formula unit) = 0.0

```
HfNb2N
1.0
-2.6295 -1.4567 0.8006
4.2229 -2.4493 -2.6854
3.6010 -2.2568 7.7211
N Nb Hf
2 4 2
direct
0.1515 0.2499 0.2500 N
0.8485 0.7501 0.7500 N
0.3440 0.7501 0.5804 Nb
0.6560 0.2499 0.4196 Nb
0.6560 0.2499 0.0804 Nb
0.3440 0.7501 0.9196 Nb
0.6958 0.7498 0.2500 Hf
0.3042 0.2502 0.7500 Hf
```

# 5
# HfNb2N3

A relaxed HfNb2N3 crystal (PBE, Alexandria).

Properties
- symmetry = Immm (71)
- DFT total energy (eV per cell) = -62.46
- raw formation energy (kJ/mol of formula units) = -713
- total magnetic moment (μB per formula unit) = 0.0

```
HfNb2N3
1.0
3.0846 0.0004 -0.5912
-0.3056 4.1355 -1.5913
-0.5317 -0.2906 5.5457
N Nb Hf
3 2 1
direct
0.1548 0.1549 0.3099 N
0.8452 0.8451 0.6901 N
0.5000 0.5000 0.0000 N
0.8179 0.3184 0.6367 Nb
0.1821 0.6816 0.3633 Nb
0.5000 0.0000 0.0000 Hf
```

# 6
# HfNb2N

A relaxed HfNb2N crystal (PBE, Alexandria).

Properties
- symmetry = I-42d (122)
- DFT total energy (eV per cell) = -79.68
- raw formation energy (kJ/mol of formula units) = -137
- total magnetic moment (μB per formula unit) = 0.0

```
HfNb2N
1.0
7.5005 0.0000 0.0000
0.0000 7.5005 0.0000
3.7502 3.7502 2.3141
Hf Nb N
2 4 2
direct
0.0000 0.0000 0.0000 Hf
0.7500 0.2500 0.5000 Hf
0.5059 0.1250 0.2500 Nb
0.3750 0.4941 0.7500 Nb
0.2441 0.6250 0.2500 Nb
0.8750 0.7559 0.7500 Nb
0.5000 0.5000 0.0000 N
0.2500 0.7500 0.5000 N
```

# 7
# HfNb2N

A relaxed HfNb2N crystal (PBE, Alexandria).

Properties
- symmetry = P2_1 (4)
- DFT total energy (eV per cell) = -83.46
- raw formation energy (kJ/mol of formula units) = -320
- total magnetic moment (μB per formula unit) = 0.0

```
HfNb2N
1.0
3.2815 0.0000 -0.0048
0.0000 3.2816 0.0000
0.0050 0.0000 11.3587
Hf Nb N
2 4 2
direct
0.2505 0.3360 0.5986 Hf
0.7495 0.8360 0.4014 Hf
0.7495 0.8370 0.0739 Nb
0.7512 0.8365 0.7855 Nb
0.2488 0.3365 0.2145 Nb
0.2505 0.3370 0.9261 Nb
0.7505 0.8360 0.5931 N
0.2495 0.3360 0.4069 N
```

# 8
# Hf5NbN6

A relaxed Hf5NbN6 crystal (PBE, Alexandria).

Properties
- symmetry = C2/m (12)
- DFT total energy (eV per cell) = -129.51
- raw formation energy (kJ/mol of formula units) = -1903
- total magnetic moment (μB per formula unit) = 0.0

```
Hf5NbN6
1.0
4.8777 0.4718 2.6099
1.2219 5.3551 0.6538
0.1751 0.2359 5.5356
Hf N Nb
5 6 1
direct
0.5000 0.5000 0.0000 Hf
0.1622 0.5000 0.6755 Hf
0.3334 0.0000 0.3332 Hf
0.8378 0.5000 0.3245 Hf
0.6666 0.0000 0.6668 Hf
0.7422 0.7470 0.0000 N
0.4284 0.7439 0.6567 N
0.5716 0.2561 0.3433 N
0.9149 0.2561 0.6567 N
0.2578 0.2530 0.0000 N
0.0851 0.7439 0.3433 N
0.0000 0.0000 0.0000 Nb
```